# 1
# PBE Sr4Cd2Rh, optimized geometry
data_Sr4Cd2Rh
_cell_length_a 5.704
_cell_length_b 5.704
_cell_length_c 17.141
_cell_angle_alpha 90.00
_cell_angle_beta 90.00
_cell_angle_gamma 90.00
_symmetry_space_group_name_H-M 'I 4/m m m'
_symmetry_Int_Tables_number 139
_symmetry_space_group_name_Hall '-I 4 2'
loop_
_atom_site_label
_atom_site_type_symbol
_atom_site_fract_x
_atom_site_fract_y
_atom_site_fract_z
_atom_site_occupancy
Sr1 Sr 0.000 0.000 0.174 1
Sr2 Sr 0.000 0.500 0.000 1
Cd1 Cd 0.000 0.000 0.374 1
Rh1 Rh 0.000 0.000 0.000 1
# total magnetic moment: 0.00 μB per formula unit
# polymorph energy (0 for the lowest one): 0.617 eV per formula unit
# formation energy: -166.6 meV per atom
# E_tot: -34.1 eV per cell

***

# 2
# PBE Ce3HoSb2, optimized geometry
data_Ce3HoSb2
_cell_length_a 18.287
_cell_length_b 4.118
_cell_length_c 9.508
_cell_angle_alpha 90.00
_cell_angle_beta 111.74
_cell_angle_gamma 90.00
_symmetry_space_group_name_H-M 'C 1 2/m 1'
_symmetry_Int_Tables_number 12
loop_
_symmetry_equiv_pos_as_xyz
'x,y,z'
'-x,-y,-z'
'-x,y,-z'
'x,-y,z'
'x+1/2,y+1/2,z'
'-x+1/2,-y+1/2,-z'
'-x+1/2,y+1/2,-z'
'x+1/2,-y+1/2,z'
loop_
_atom_site_label
_atom_site_type_symbol
_atom_site_fract_x
_atom_site_fract_y
_atom_site_fract_z
_atom_site_occupancy
Ce1 Ce 0.070 0.000 0.117 1
Ce2 Ce 0.133 0.500 0.990 1
Ce3 Ce 0.204 0.500 0.424 1
Ho1 Ho 0.101 0.000 0.613 1
Sb1 Sb 0.019 0.500 0.331 1
Sb2 Sb 0.236 0.500 0.779 1
# total magnetic moment: 1.81 μB per formula unit
# ΔE_f (raw): -0.640 eV per atom
# E_tot: -137.9 eV per cell

***

# 3
# PBE TaCuHg, optimized geometry
data_TaCuHg
_cell_length_a 2.9491
_cell_length_b 2.9491
_cell_length_c 7.0211
_cell_angle_alpha 90.00
_cell_angle_beta 90.00
_cell_angle_gamma 120.00
_symmetry_space_group_name_H-M 'P 3 m 1'
_symmetry_Int_Tables_number 156
loop_
_symmetry_equiv_pos_as_xyz
'x,y,z'
'-y,x-y,z'
'-x+y,-x,z'
'-y,-x,z'
'-x+y,y,z'
'x,x-y,z'
loop_
_atom_site_label
_atom_site_type_symbol
_atom_site_fract_x
_atom_site_fract_y
_atom_site_fract_z
_atom_site_occupancy
Ta1 Ta 0.0000 0.0000 0.0000 1
Cu1 Cu 0.6667 0.3333 0.3061 1
Hg1 Hg 0.3333 0.6667 0.6317 1
# total magnetic moment: 0.00 μB per formula unit
# polymorph energy (0 for the lowest one): 0.352 eV per formula unit
# formation energy: 351.9 meV per atom
# E_tot: -15.2 eV per cell

***

# 4
# PBE SbI2NO, optimized geometry
data_SbI2NO
_cell_length_a 4.870
_cell_length_b 4.870
_cell_length_c 4.208
_cell_angle_alpha 90.00
_cell_angle_beta 90.00
_cell_angle_gamma 90.00
_symmetry_space_group_name_H-M 'P 4/m m m'
_symmetry_Int_Tables_number 123
_symmetry_space_group_name_Hall '-P 4 2'
loop_
_atom_site_label
_atom_site_type_symbol
_atom_site_fract_x
_atom_site_fract_y
_atom_site_fract_z
_atom_site_occupancy
Sb1 Sb 0.000 0.000 0.000 1
I1 I 0.000 0.500 0.500 1
N1 N 0.500 0.500 0.500 1
O1 O 0.500 0.500 0.000 1
# total magnetic moment: 0.00 μB per formula unit
# polymorph energy (0 for the lowest one): 1.946 eV per formula unit
# ΔE_f (raw): 1.152 eV per atom
# E_tot: -14.7 eV per cell

***

# 5
# PBE Pr3Nd2Pb2, optimized geometry
data_Pr3Nd2Pb2
_cell_length_a 17.466
_cell_length_b 3.625
_cell_length_c 8.306
_cell_angle_alpha 90.00
_cell_angle_beta 116.38
_cell_angle_gamma 90.00
_symmetry_space_group_name_H-M 'C 1 2/m 1'
_symmetry_Int_Tables_number 12
loop_
_symmetry_equiv_pos_as_xyz
'x,y,z'
'-x,-y,-z'
'-x,y,-z'
'x,-y,z'
'x+1/2,y+1/2,z'
'-x+1/2,-y+1/2,-z'
'-x+1/2,y+1/2,-z'
'x+1/2,-y+1/2,z'
loop_
_atom_site_label
_atom_site_type_symbol
_atom_site_fract_x
_atom_site_fract_y
_atom_site_fract_z
_atom_site_occupancy
Pr1 Pr 0.000 0.000 0.000 1
Pr2 Pr 0.212 0.000 0.147 1
Nd1 Nd 0.118 0.000 0.471 1
Pb1 Pb 0.078 0.500 0.765 1
# total magnetic moment: 0.00 μB per formula unit
# formation energy: -184.0 meV per atom
# E_tot: -65.2 eV per cell

***

# 6
# PBE KLiScCl5, optimized geometry
data_KLiScCl5
_cell_length_a 8.619
_cell_length_b 11.733
_cell_length_c 9.649
_cell_angle_alpha 90.00
_cell_angle_beta 113.45
_cell_angle_gamma 90.00
_symmetry_space_group_name_H-M 'C 1 2/c 1'
_symmetry_Int_Tables_number 15
loop_
_symmetry_equiv_pos_as_xyz
'x,y,z'
'-x,-y,-z'
'-x,y,-z+1/2'
'x,-y,z+1/2'
'x+1/2,y+1/2,z'
'-x+1/2,-y+1/2,-z'
'-x+1/2,y+1/2,-z+1/2'
'x+1/2,-y+1/2,z+1/2'
loop_
_atom_site_label
_atom_site_type_symbol
_atom_site_fract_x
_atom_site_fract_y
_atom_site_fract_z
_atom_site_occupancy
K1 K 0.000 0.160 0.250 1
Li1 Li 0.000 0.192 0.750 1
Sc1 Sc 0.000 0.500 0.000 1
Cl1 Cl 0.000 0.433 0.250 1
Cl2 Cl 0.101 0.305 0.598 1
Cl3 Cl 0.201 0.062 0.923 1
# total magnetic moment: 0.00 μB per formula unit
# ΔE_f (raw): -2.014 eV per atom
# E_tot: -138.8 eV per cell

***

# 7
# PBE Ba2ScBr, optimized geometry
data_Ba2ScBr
_cell_length_a 3.895
_cell_length_b 3.895
_cell_length_c 10.276
_cell_angle_alpha 90.00
_cell_angle_beta 90.00
_cell_angle_gamma 90.00
_symmetry_space_group_name_H-M 'P 4 m m'
_symmetry_Int_Tables_number 99
loop_
_symmetry_equiv_pos_as_xyz
'x,y,z'
'-y,x,z'
'-x,-y,z'
'y,-x,z'
'-x,y,z'
'y,x,z'
'x,-y,z'
'-y,-x,z'
loop_
_atom_site_label
_atom_site_type_symbol
_atom_site_fract_x
_atom_site_fract_y
_atom_site_fract_z
_atom_site_occupancy
Ba1 Ba 0.000 0.000 0.000 1
Ba2 Ba 0.500 0.500 0.356 1
Sc1 Sc 0.500 0.500 0.734 1
Br1 Br 0.000 0.000 0.599 1
# total magnetic moment: 1.64 μB per formula unit
# polymorph energy (0 for the lowest one): 0.905 eV per formula unit
# ΔE_f (raw): -0.280 eV per atom
# E_tot: -13.0 eV per cell

***

# 8
# PBE BeNi2Br, optimized geometry
data_BeNi2Br
_cell_length_a 3.817
_cell_length_b 3.817
_cell_length_c 6.886
_cell_angle_alpha 90.00
_cell_angle_beta 90.00
_cell_angle_gamma 90.00
_symmetry_space_group_name_H-M 'I 4/m m m'
_symmetry_Int_Tables_number 139
_symmetry_space_group_name_Hall '-I 4 2'
loop_
_atom_site_label
_atom_site_type_symbol
_atom_site_fract_x
_atom_site_fract_y
_atom_site_fract_z
_atom_site_occupancy
Be1 Be 0.000 0.000 0.000 1
Ni1 Ni 0.000 0.500 0.250 1
Br1 Br 0.000 0.000 0.500 1
# total magnetic moment: 0.00 μB per formula unit
# polymorph energy (0 for the lowest one): 1.676 eV per formula unit
# ΔE_f (raw): 0.552 eV per atom
# E_tot: -29.5 eV per cell